*1*
Here is crystalline ScZnGe3 at its relaxed geometry from the Alexandria database. Energies are from PBE-GGA.

Results
Crystal system: cubic
Space group: Pm-3m (221)

Unit cell a=4.8051 b=4.8051 c=4.8051 alpha=90.00 beta=90.00 gamma=90.00
Closest atoms and distances in Å follow each position.
Fractional coordinates of all 5 atoms:
Sc: 0.0000 0.0000 0.0000  12 Ge 3.40
Zn: 0.5000 0.5000 0.5000  6 Ge 2.40
Ge: 0.0000 0.5000 0.5000  2 Zn 2.40
Ge: 0.5000 0.0000 0.5000  2 Zn 2.40
Ge: 0.5000 0.5000 0.0000  2 Zn 2.40

*2*
Here is crystalline ScZnGe3 at its relaxed geometry from the Alexandria database. Energies are from PBE-GGA.

Results
Crystal system: cubic
Space group: Pm-3m (221)

Unit cell a=5.1639 b=5.1639 c=5.1639 alpha=90.00 beta=90.00 gamma=90.00
Closest atoms and distances in Å follow each position.
Fractional coordinates of all 5 atoms:
Sc: 0.0000 0.0000 0.0000  6 Ge 2.58
Zn: 0.5000 0.5000 0.5000  12 Ge 3.65
Ge: 0.0000 0.0000 0.5000  2 Sc 2.58
Ge: 0.0000 0.5000 0.0000  2 Sc 2.58
Ge: 0.5000 0.0000 0.0000  2 Sc 2.58

Most stable: *1* (next structure +21.3 kJ/mol of atoms)

*1*
Here is crystalline ZrSc2Ge2 at its relaxed geometry from the Alexandria database. Energies are from PBE-GGA.

Results
Crystal system: monoclinic
Space group: C2/m (12)

Unit cell a=6.2904 b=6.2904 c=9.4615 alpha=117.92 beta=117.92 gamma=39.41
Closest atoms and distances in Å follow each position.
Fractional coordinates of all 10 atoms:
Zr: 0.2146 0.2146 0.3474  4 Ge 2.70-2.82
Zr: 0.7854 0.7854 0.6526  4 Ge 2.70-2.82
Sc: 0.2984 0.2984 0.9119  4 Ge 2.78-2.89
Sc: 0.4888 0.4888 0.3193  6 Ge 2.84-2.97
Sc: 0.5112 0.5112 0.6807  6 Ge 2.84-2.97
Sc: 0.7016 0.7016 0.0881  4 Ge 2.78-2.89
Ge: 0.0492 0.0492 0.8995  1 Ge 2.68, 5 Sc 2.78-2.89, 1 Zr 2.82
Ge: 0.1237 0.1237 0.5673  1 Ge 2.55, 3 Zr 2.70-2.78
Ge: 0.8763 0.8763 0.4327  1 Ge 2.55, 3 Zr 2.70-2.78
Ge: 0.9508 0.9508 0.1005  1 Ge 2.68, 5 Sc 2.78-2.89, 1 Zr 2.82

*2*
Here is crystalline ZrSc2Ge2 at its relaxed geometry from the Alexandria database. Energies are from PBE-GGA.

Results
Crystal system: orthorhombic
Space group: Cmcm (63)

Unit cell a=12.8321 b=12.8321 c=3.9159 alpha=90.00 beta=90.00 gamma=162.09
Closest atoms and distances in Å follow each position.
Fractional coordinates of all 10 atoms:
Zr: 0.1439 0.8561 0.7500  5 Ge 2.75-2.86
Zr: 0.8561 0.1439 0.2500  5 Ge 2.75-2.86
Sc: 0.2488 0.7512 0.2500  4 Sc 2.80, 4 Ge 2.88-2.90
Sc: 0.4441 0.5559 0.7500  7 Ge 2.81-3.06
Sc: 0.5559 0.4441 0.2500  7 Ge 2.81-3.06
Sc: 0.7512 0.2488 0.7500  4 Sc 2.80, 4 Ge 2.88-2.90
Ge: 0.0355 0.9645 0.7500  2 Ge 2.66, 1 Zr 2.75, 4 Sc 2.84
Ge: 0.3331 0.6669 0.7500  5 Sc 2.81-2.90, 4 Zr 2.86
Ge: 0.6669 0.3331 0.2500  5 Sc 2.81-2.90, 4 Zr 2.86
Ge: 0.9645 0.0355 0.2500  2 Ge 2.66, 1 Zr 2.75, 4 Sc 2.84

*3*
Here is crystalline ZrSc2Ge2 at its relaxed geometry from the Alexandria database. Energies are from PBE-GGA.

Results
Crystal system: tetragonal
Space group: P4/mbm (127)

Unit cell a=7.2659 b=7.2659 c=3.7854 alpha=90.00 beta=90.00 gamma=90.00
Closest atoms and distances in Å follow each position.
Fractional coordinates of all 10 atoms:
Zr: 0.0000 0.0000 0.0000  4 Ge 2.84
Zr: 0.5000 0.5000 0.0000  4 Ge 2.84
Sc: 0.1693 0.3307 0.5000  6 Ge 2.77-2.91
Sc: 0.3307 0.8307 0.5000  6 Ge 2.77-2.91
Sc: 0.6693 0.1693 0.5000  6 Ge 2.77-2.91
Sc: 0.8307 0.6693 0.5000  6 Ge 2.77-2.91
Ge: 0.1333 0.6333 0.0000  1 Ge 2.74, 6 Sc 2.77-2.91, 2 Zr 2.84
Ge: 0.3667 0.1333 0.0000  1 Ge 2.74, 6 Sc 2.77-2.91, 2 Zr 2.84
Ge: 0.6333 0.8667 0.0000  1 Ge 2.74, 6 Sc 2.77-2.91, 2 Zr 2.84
Ge: 0.8667 0.3667 0.0000  1 Ge 2.74, 6 Sc 2.77-2.91, 2 Zr 2.84

Most stable: *3* (next structure +1.5 kJ/mol of atoms)

*1*
Here is crystalline Zr2Sc2Ge at its relaxed geometry from the Alexandria database. Energies are from PBE-GGA.

Results
Crystal system: tetragonal
Space group: P4/mbm (127)

Unit cell a=7.1649 b=7.1649 c=4.3345 alpha=90.00 beta=90.00 gamma=90.00
Closest atoms and distances in Å follow each position.
Fractional coordinates of all 10 atoms:
Zr: 0.1522 0.3478 0.0000  6 Sc 2.97-3.05, 1 Zr 3.08
Zr: 0.3478 0.8478 0.0000  6 Sc 2.97-3.05, 1 Zr 3.08
Zr: 0.6522 0.1522 0.0000  6 Sc 2.97-3.05, 1 Zr 3.08
Zr: 0.8478 0.6522 0.0000  6 Sc 2.97-3.05, 1 Zr 3.08
Sc: 0.1474 0.6474 0.5000  2 Ge 2.74, 6 Zr 2.97-3.05, 1 Sc 2.99
Sc: 0.3526 0.1474 0.5000  2 Ge 2.74, 6 Zr 2.97-3.05, 1 Sc 2.99
Sc: 0.6474 0.8526 0.5000  2 Ge 2.74, 6 Zr 2.97-3.05, 1 Sc 2.99
Sc: 0.8526 0.3526 0.5000  2 Ge 2.74, 6 Zr 2.97-3.05, 1 Sc 2.99
Ge: 0.0000 0.0000 0.5000  4 Sc 2.74
Ge: 0.5000 0.5000 0.5000  4 Sc 2.74

*2*
Here is crystalline Zr2Sc2Ge at its relaxed geometry from the Alexandria database. Energies are from PBE-GGA.

Results
Crystal system: tetragonal
Space group: P4/mbm (127)

Unit cell a=7.1801 b=7.1801 c=4.4794 alpha=90.00 beta=90.00 gamma=90.00
Closest atoms and distances in Å follow each position.
Fractional coordinates of all 10 atoms:
Zr: 0.1469 0.3531 0.0000  2 Ge 2.75, 1 Zr 2.98, 2 Sc 3.01
Zr: 0.3531 0.8531 0.0000  2 Ge 2.75, 1 Zr 2.98, 2 Sc 3.01
Zr: 0.6469 0.1469 0.0000  2 Ge 2.75, 1 Zr 2.98, 2 Sc 3.01
Zr: 0.8531 0.6469 0.0000  2 Ge 2.75, 1 Zr 2.98, 2 Sc 3.01
Sc: 0.1544 0.6544 0.5000  6 Zr 3.01-3.11, 1 Sc 3.14
Sc: 0.3456 0.1544 0.5000  6 Zr 3.01-3.11, 1 Sc 3.14
Sc: 0.6544 0.8456 0.5000  6 Zr 3.01-3.11, 1 Sc 3.14
Sc: 0.8456 0.3456 0.5000  6 Zr 3.01-3.11, 1 Sc 3.14
Ge: 0.0000 0.0000 0.0000  4 Zr 2.75
Ge: 0.5000 0.5000 0.0000  4 Zr 2.75

Most stable: *2* (next structure +8.6 kJ/mol of atoms)

*1*
Here is crystalline SiGeSe at its relaxed geometry from the Alexandria database. Energies are from PBE-GGA.

Results
Crystal system: triclinic
Space group: P1 (1)

Unit cell a=4.5590 b=5.5039 c=6.0188 alpha=77.29 beta=67.96 gamma=83.72
Closest atoms and distances in Å follow each position.
Fractional coordinates of all 6 atoms:
Si: 0.0000 0.0000 0.0000  1 Si 2.40, 2 Ge 2.48-2.50, 1 Se 2.57
Si: 0.0982 0.1805 0.2939  1 Si 2.40, 1 Se 2.40, 2 Ge 2.48-2.51
Ge: 0.2894 0.6088 0.0990  2 Se 2.41-2.58, 2 Si 2.48
Ge: 0.6978 0.1394 0.7200  2 Si 2.50-2.51, 1 Se 2.56
Se: 0.4764 0.8518 0.3407  2 Si 2.40-2.57, 1 Ge 2.58
Se: 0.7979 0.5616 0.7856  2 Ge 2.41-2.56

*2*
Here is crystalline SiGeSe at its relaxed geometry from the Alexandria database. Energies are from PBE-GGA.

Results
Crystal system: triclinic
Space group: P1 (1)

Unit cell a=4.0121 b=4.0579 c=5.4338 alpha=70.72 beta=69.21 gamma=60.84
Closest atoms and distances in Å follow each position.
Fractional coordinates of all 3 atoms:
Si: 0.0000 0.0000 0.0000  1 Se 2.32, 3 Ge 2.45-2.46
Ge: 0.7179 0.7023 0.8510  3 Si 2.45-2.46, 1 Se 2.47
Se: 0.1368 0.8575 0.4132  1 Si 2.32, 1 Ge 2.47

Most stable: *2* (next structure +4.1 kJ/mol of atoms)

*1*
Here is crystalline SiGeSe at its relaxed geometry from the Alexandria database. Energies are from PBE-GGA.

Results
Crystal system: monoclinic
Space group: P2_1 (4)

Unit cell a=5.6223 b=4.0108 c=6.6274 alpha=90.00 beta=90.35 gamma=90.00
Closest atoms and distances in Å follow each position.
Fractional coordinates of all 6 atoms:
Si: 0.0273 0.0000 0.4020  1 Se 2.32, 2 Si 2.41, 1 Ge 2.42
Si: 0.9727 0.5000 0.5980  1 Se 2.32, 2 Si 2.41, 1 Ge 2.42
Ge: 0.4543 0.0783 0.3933  1 Si 2.42, 1 Se 2.44, 2 Ge 2.51
Ge: 0.5457 0.5783 0.6067  1 Si 2.42, 1 Se 2.44, 2 Ge 2.51
Se: 0.2425 0.5064 0.8639  1 Si 2.32, 1 Ge 2.44
Se: 0.7575 0.0064 0.1361  1 Si 2.32, 1 Ge 2.44

*2*
Here is crystalline SiGeSe at its relaxed geometry from the Alexandria database. Energies are from PBE-GGA.

Results
Crystal system: monoclinic
Space group: Pm (6)

Unit cell a=4.7592 b=3.8658 c=8.1069 alpha=90.00 beta=94.48 gamma=90.00
Closest atoms and distances in Å follow each position.
Fractional coordinates of all 6 atoms:
Si: 0.0000 0.0000 0.0000  1 Se 2.35, 2 Si 2.42, 1 Ge 2.48
Si: 0.2379 0.5000 0.8986  1 Se 2.40, 2 Si 2.42, 2 Ge 2.63
Ge: 0.2343 0.5000 0.4168  3 Se 2.55-2.64
Ge: 0.5681 0.0000 0.8075  3 Si 2.48-2.63
Se: 0.9162 0.0000 0.2821  1 Si 2.35
Se: 0.9172 0.5000 0.6557  1 Si 2.40, 1 Ge 2.55

*3*
Here is crystalline SiGeSe at its relaxed geometry from the Alexandria database. Energies are from PBE-GGA.

Results
Crystal system: triclinic
Space group: P-1 (2)

Unit cell a=3.9953 b=5.0074 c=7.8557 alpha=87.94 beta=86.10 gamma=75.95
Closest atoms and distances in Å follow each position.
Fractional coordinates of all 6 atoms:
Si: 0.0195 0.0913 0.1365  1 Se 2.31, 1 Si 2.39, 2 Ge 2.42-2.45
Si: 0.9805 0.9087 0.8635  1 Se 2.31, 1 Si 2.39, 2 Ge 2.42-2.45
Ge: 0.4376 0.3783 0.1361  2 Si 2.42-2.45, 1 Se 2.44, 1 Ge 2.50
Ge: 0.5624 0.6217 0.8639  2 Si 2.42-2.45, 1 Se 2.44, 1 Ge 2.50
Se: 0.1772 0.7412 0.3365  1 Si 2.31, 1 Ge 2.44
Se: 0.8228 0.2588 0.6635  1 Si 2.31, 1 Ge 2.44

Most stable: *3* (next structure +3.9 kJ/mol of atoms)

*1*
Here is crystalline SiGeSe at its relaxed geometry from the Alexandria database. Energies are from PBE-GGA.

Results
Crystal system: triclinic
Space group: P-1 (2)

Unit cell a=3.6782 b=5.3197 c=9.9077 alpha=75.52 beta=79.74 gamma=69.78
Closest atoms and distances in Å follow each position.
Fractional coordinates of all 6 atoms:
Si: 0.0500 0.0717 0.3205  2 Se 2.35, 2 Ge 2.43
Si: 0.9500 0.9283 0.6795  2 Se 2.35, 2 Ge 2.43
Ge: 0.1731 0.6541 0.4999  2 Ge 2.40, 2 Si 2.43
Ge: 0.8269 0.3459 0.5001  2 Ge 2.40, 2 Si 2.43
Se: 0.4079 0.8654 0.8329  2 Si 2.35
Se: 0.5921 0.1346 0.1671  2 Si 2.35

*2*
Here is crystalline SiGeSe at its relaxed geometry from the Alexandria database. Energies are from PBE-GGA.

Results
Crystal system: monoclinic
Space group: C2/m (12)

Unit cell a=13.1483 b=3.4901 c=5.8901 alpha=90.00 beta=109.29 gamma=90.00
Closest atoms and distances in Å follow each position.
Fractional coordinates of all 12 atoms:
Si: 0.0076 0.0000 0.2102  1 Si 2.42, 2 Se 2.46, 2 Ge 2.69
Si: 0.4924 0.5000 0.7898  1 Si 2.42, 2 Se 2.46, 2 Ge 2.69
Si: 0.5076 0.5000 0.2102  1 Si 2.42, 2 Se 2.46, 2 Ge 2.69
Si: 0.9924 0.0000 0.7898  1 Si 2.42, 2 Se 2.46, 2 Ge 2.69
Ge: 0.1660 0.5000 0.4265  1 Se 2.55, 2 Si 2.69, 2 Ge 2.72
Ge: 0.3340 0.0000 0.5735  1 Se 2.55, 2 Si 2.69, 2 Ge 2.72
Ge: 0.6660 0.0000 0.4265  1 Se 2.55, 2 Si 2.69, 2 Ge 2.72
Ge: 0.8340 0.5000 0.5735  1 Se 2.55, 2 Si 2.69, 2 Ge 2.72
Se: 0.1289 0.5000 0.8255  2 Si 2.46, 1 Ge 2.55
Se: 0.3711 0.0000 0.1745  2 Si 2.46, 1 Ge 2.55
Se: 0.6289 0.0000 0.8255  2 Si 2.46, 1 Ge 2.55
Se: 0.8711 0.5000 0.1745  2 Si 2.46, 1 Ge 2.55

Most stable: *1* (next structure +10.1 kJ/mol of atoms)

*1*
Here is crystalline SiGeTeSe at its relaxed geometry from the Alexandria database. Energies are from PBE-GGA.

Results
Crystal system: monoclinic
Space group: Cm (8)

Unit cell a=10.7452 b=3.7239 c=6.5922 alpha=90.00 beta=93.20 gamma=90.00
Closest atoms and distances in Å follow each position.
Fractional coordinates of all 8 atoms:
Si: 0.0000 0.0000 0.0000  2 Se 2.37, 1 Ge 2.54
Si: 0.5000 0.5000 0.0000  2 Se 2.37, 1 Ge 2.54
Ge: 0.1268 0.0000 0.6869  1 Si 2.54, 2 Te 2.69
Ge: 0.6268 0.5000 0.6869  1 Si 2.54, 2 Te 2.69
Te: 0.3076 0.5000 0.7271  1 Si 2.66, 2 Ge 2.69
Te: 0.8076 0.0000 0.7271  1 Si 2.66, 2 Ge 2.69
Se: 0.4854 0.0000 0.2191  2 Si 2.37
Se: 0.9854 0.5000 0.2191  2 Si 2.37

*2*
Here is crystalline SiGeTeSe at its relaxed geometry from the Alexandria database. Energies are from PBE-GGA.

Results
Crystal system: monoclinic
Space group: Pm (6)

Unit cell a=4.2215 b=4.0367 c=5.9668 alpha=90.00 beta=93.27 gamma=90.00
Closest atoms and distances in Å follow each position.
Fractional coordinates of all 4 atoms:
Si: 0.0000 0.0000 0.0000  1 Se 2.48, 2 Te 2.77
Ge: 0.4789 0.5000 0.4370  2 Se 2.67, 1 Te 2.94
Te: 0.5536 0.5000 0.9505  2 Si 2.77, 2 Ge 2.94-3.06
Se: 0.0657 0.0000 0.4153  1 Si 2.48, 2 Ge 2.67

*3*
Here is crystalline SiGeTeSe at its relaxed geometry from the Alexandria database. Energies are from PBE-GGA.

Results
Crystal system: monoclinic
Space group: Cm (8)

Unit cell a=10.5641 b=3.8111 c=7.4077 alpha=90.00 beta=125.16 gamma=90.00
Closest atoms and distances in Å follow each position.
Fractional coordinates of all 8 atoms:
Si: 0.0000 0.0000 0.0000  1 Se 2.41, 2 Te 2.57, 1 Ge 2.64
Si: 0.5000 0.5000 0.0000  1 Se 2.41, 2 Te 2.57, 1 Ge 2.64
Ge: 0.0600 0.0000 0.7004  2 Se 2.61, 1 Si 2.64
Ge: 0.5600 0.5000 0.7004  2 Se 2.61, 1 Si 2.64
Te: 0.1112 0.5000 0.2852  2 Si 2.57
Te: 0.6112 0.0000 0.2852  2 Si 2.57
Se: 0.2526 0.5000 0.9467  1 Si 2.41, 2 Ge 2.61
Se: 0.7526 0.0000 0.9467  1 Si 2.41, 2 Ge 2.61

*4*
Here is crystalline SiGeTeSe at its relaxed geometry from the Alexandria database. Energies are from PBE-GGA.

Results
Crystal system: monoclinic
Space group: Pm (6)

Unit cell a=4.5046 b=3.8651 c=6.6912 alpha=90.00 beta=108.36 gamma=90.00
Closest atoms and distances in Å follow each position.
Fractional coordinates of all 4 atoms:
Si: 0.0000 0.0000 0.0000  1 Se 2.37
Ge: 0.4402 0.5000 0.1361  2 Se 2.67, 2 Si 2.71, 1 Te 2.74
Te: 0.6140 0.5000 0.7796  2 Si 2.71, 1 Ge 2.74
Se: 0.8502 0.0000 0.3098  1 Si 2.37

Most stable: *4* (next structure +5.0 kJ/mol of atoms)

*1*
Here is crystalline SiGeTeSe at its relaxed geometry from the Alexandria database. Energies are from PBE-GGA.

Results
Crystal system: triclinic
Space group: P1 (1)

Unit cell a=4.2474 b=4.8866 c=7.4806 alpha=107.14 beta=91.35 gamma=115.28
Closest atoms and distances in Å follow each position.
Fractional coordinates of all 4 atoms:
Si: 0.0000 0.0000 0.0000  1 Se 2.30, 2 Ge 2.48, 1 Te 2.53
Ge: 0.3562 0.7082 0.9982  1 Se 2.45, 2 Si 2.48, 1 Te 2.64
Te: 0.0525 0.1651 0.7070  1 Si 2.53, 1 Ge 2.64
Se: 0.2380 0.4761 0.2524  1 Si 2.30, 1 Ge 2.45

*2*
Here is crystalline SiGeTeSe at its relaxed geometry from the Alexandria database. Energies are from PBE-GGA.

Results
Crystal system: monoclinic
Space group: Cm (8)

Unit cell a=10.8089 b=3.9435 c=4.8635 alpha=90.00 beta=92.92 gamma=90.00
Closest atoms and distances in Å follow each position.
Fractional coordinates of all 8 atoms:
Si: 0.0000 0.0000 0.0000  1 Se 2.40, 2 Te 2.64
Si: 0.5000 0.5000 0.0000  1 Se 2.40, 2 Te 2.64
Ge: 0.2985 0.5000 0.6351  2 Se 2.64, 1 Si 2.74
Ge: 0.7985 0.0000 0.6351  2 Se 2.64, 1 Si 2.74
Te: 0.0108 0.5000 0.3620  2 Si 2.64
Te: 0.5108 0.0000 0.3620  2 Si 2.64
Se: 0.2191 0.0000 0.9419  1 Si 2.40, 2 Ge 2.64
Se: 0.7191 0.5000 0.9419  1 Si 2.40, 2 Ge 2.64

Most stable: *1* (next structure +6.1 kJ/mol of atoms)